[1]
CuAg | PBEsol | optimized geometry

The space group is C2/m (No. 12) and the conventional cell measures 9.4462, 2.7529 and 4.5487 Å, with angles of 90.00, 108.90 and 90.00 degrees. The asymmetric unit holds Cu at (0.1414, 0.0000, 0.3526) and Ag at (0.1125, 0.5000, 0.8333).

The formation energy comes out at 92 meV/atom.

=====

[2]
DyCu4Ag | PBEsol | optimized geometry

The space group is F-43m (No. 216) and the conventional cell measures 7.0104, 7.0104 and 7.0104 Å, with angles of 90.00, 90.00 and 90.00 degrees. The asymmetric unit holds Dy at (0.0000, 0.0000, 0.0000), Cu at (0.1241, 0.1241, 0.6241) and Ag at (0.2500, 0.2500, 0.2500).

The formation energy comes out at -249 meV/atom.

=====

[3]
ErCu4Ag | PBEsol | optimized geometry

The space group is F-43m (No. 216) and the conventional cell measures 6.9866, 6.9866 and 6.9866 Å, with angles of 90.00, 90.00 and 90.00 degrees. The asymmetric unit holds Er at (0.0000, 0.0000, 0.0000), Cu at (0.1242, 0.1242, 0.3758) and Ag at (0.2500, 0.2500, 0.7500).

The formation energy comes out at -257 meV/atom.

=====

[4]
CuAg3F | PBEsol | optimized geometry

The space group is Pm-3m (No. 221) and the conventional cell measures 4.6728, 4.6728 and 4.6728 Å, with angles of 90.00, 90.00 and 90.00 degrees. The asymmetric unit holds Cu at (0.0000, 0.0000, 0.0000), Ag at (0.0000, 0.0000, 0.5000) and F at (0.5000, 0.5000, 0.5000).

The value obtained for the uncorrected formation energy is 49 kJ per mole of atoms.

=====

[5]
Cu3AgF | PBEsol | optimized geometry

The space group is Pm-3m (No. 221) and the conventional cell measures 4.6310, 4.6310 and 4.6310 Å, with angles of 90.00, 90.00 and 90.00 degrees. The asymmetric unit holds Cu at (0.0000, 0.0000, 0.5000), Ag at (0.0000, 0.0000, 0.0000) and F at (0.5000, 0.5000, 0.5000).

The value obtained for the uncorrected formation energy is 90 kJ per mole of atoms.

=====

[6]
Fe2CuAg | PBEsol | optimized geometry

The space group is P4mm (No. 99) and the conventional cell measures 2.9253, 2.9253 and 5.9296 Å, with angles of 90.00, 90.00 and 90.00 degrees. The asymmetric unit holds Fe at (0.0000, 0.0000, 0.0000), Fe at (0.5000, 0.5000, 0.2045), Cu at (0.5000, 0.5000, 0.7661) and Ag at (0.0000, 0.0000, 0.4927).

The calculation puts the energy above the lowest structure with this stoichiometry at 13 meV per atom. The formation energy comes out at 252 meV/atom.

=====

[7]
Fe2CuAg | PBEsol | optimized geometry

The space group is Cmm2 (No. 35) and the conventional cell measures 3.1171, 4.0698 and 8.0377 Å, with angles of 90.00, 90.00 and 90.00 degrees. The asymmetric unit holds Fe at (0.0000, 0.0000, 0.0000), Fe at (0.0000, 0.5000, 0.2249), Cu at (0.0000, 0.5000, 0.7647) and Ag at (0.0000, 0.0000, 0.4976).

The calculation puts the energy above the lowest structure with this stoichiometry at 0 meV per atom. The formation energy comes out at 239 meV/atom.

=====

[8]
Fe2CuAg | PBEsol | optimized geometry

The space group is F-43m (No. 216) and the conventional cell measures 5.8727, 5.8727 and 5.8727 Å, with angles of 90.00, 90.00 and 90.00 degrees. The asymmetric unit holds Fe at (0.0000, 0.0000, 0.0000), Fe at (0.2500, 0.2500, 0.2500), Cu at (0.2500, 0.2500, 0.7500) and Ag at (0.0000, 0.0000, 0.5000).

The calculation puts the energy above the lowest structure with this stoichiometry at 133 meV per atom. The formation energy comes out at 372 meV/atom.

=====

Q: What is the formula in the fourth record?
A: CuAg3F